(1)
Below is a geometry-optimized Ta2ZnRu structure, with properties calculated at the PBE level.

```
Ta2ZnRu
1.0
-0.735 -6.986 -5.092
1.468 -7.921 -3.221
-1.444 -8.211 -2.404
Ru Zn Ta
1 1 2
Direct
0.749 0.749 0.749
0.495 0.495 0.495
0.006 0.006 0.006
0.250 0.250 0.250
```

Calculated values
Space-group type ... R3m (160)
VASP energy ... -8.490 eV/atom
Calculated volume ... 16.98 A^3/atom
Total magnetic moment ... 0.0002 μB/atom



(2)
Below is a geometry-optimized TaZnRu2 structure, with properties calculated at the PBE level.

```
TaZnRu2
1.0
4.290 0.000 0.000
0.000 4.290 0.000
0.000 0.000 3.223
Ru Ta Zn
2 1 1
Direct
0.000 0.000 0.000
0.500 0.500 0.000
0.500 0.000 0.500
0.000 0.500 0.500
```

Calculated values
Space-group type ... P4/mmm (123)
VASP energy ... -8.214 eV/atom
Calculated volume ... 14.83 A^3/atom
Total magnetic moment ... 0.0001 μB/atom



(3)
Below is a geometry-optimized TaZnRu2 structure, with properties calculated at the PBE level.

```
TaZnRu2
1.0
8.479 0.000 0.000
7.968 2.898 0.000
7.968 1.404 2.535
Ta Ru Zn
1 2 1
Direct
0.250 0.250 0.250
0.501 0.501 0.501
0.999 0.999 0.999
0.750 0.750 0.750
```

Calculated values
Space-group type ... R-3m (166)
VASP energy ... -7.921 eV/atom
Calculated volume ... 15.57 A^3/atom
Total magnetic moment ... 0.0003 μB/atom



(4)
Below is a geometry-optimized Ta2ZnRu structure, with properties calculated at the PBE level.

```
Ta2ZnRu
1.0
-4.034 1.943 -0.354
-1.089 -1.906 1.950
0.909 2.635 4.100
Zn Ru Ta
1 1 2
Direct
0.000 0.640 0.467
0.500 0.636 0.792
0.000 0.016 0.946
0.500 0.208 0.295
```

Calculated values
Space-group type ... Pm (6)
VASP energy ... -8.648 eV/atom
Calculated volume ... 16.20 A^3/atom
Total magnetic moment ... 0.0000 μB/atom



(5)
Below is a geometry-optimized Ta4ZnRu5 structure, with properties calculated at the PBE level.

```
Ta4ZnRu5
1.0
3.187 0.000 0.000
0.000 3.187 0.000
0.000 0.000 15.394
Ru Ta Zn
5 4 1
Direct
0.500 0.500 0.297
0.500 0.500 0.703
0.500 0.500 0.500
0.500 0.500 0.098
0.500 0.500 0.902
0.000 0.000 0.398
0.000 0.000 0.810
0.000 0.000 0.190
0.000 0.000 0.602
0.000 0.000 0.000
```

Calculated values
Space-group type ... P4/mmm (123)
VASP energy ... -9.870 eV/atom
Calculated volume ... 15.64 A^3/atom
Total magnetic moment ... 0.0000 μB/atom



(6)
Below is a geometry-optimized Ta2Zn2Ru structure, with properties calculated at the PBE level.

```
Ta2Zn2Ru
1.0
6.652 0.000 0.000
0.000 6.652 0.000
0.000 0.000 3.508
Ta Ru Zn
4 2 4
Direct
0.827 0.327 0.500
0.327 0.173 0.500
0.673 0.827 0.500
0.173 0.673 0.500
0.000 0.000 0.000
0.500 0.500 0.000
0.372 0.872 0.000
0.628 0.128 0.000
0.872 0.628 0.000
0.128 0.372 0.000
```

Calculated values
Space-group type ... P4/mbm (127)
VASP energy ... -7.070 eV/atom
Calculated volume ... 15.53 A^3/atom
Total magnetic moment ... 0.0000 μB/atom
Distance to the lowest polymorph of the same formula ... 0 meV per atom



(7)
Below is a geometry-optimized Ta2ZnRu3 structure, with properties calculated at the PBE level.

```
Ta2ZnRu3
1.0
3.168 0.000 0.000
0.000 3.168 0.000
0.000 0.000 9.173
Ru Ta Zn
3 2 1
Direct
0.000 0.000 0.666
0.000 0.000 0.000
0.000 0.000 0.334
0.500 0.500 0.179
0.500 0.500 0.821
0.500 0.500 0.500
```

Calculated values
Space-group type ... P4/mmm (123)
VASP energy ... -9.211 eV/atom
Calculated volume ... 15.35 A^3/atom
Total magnetic moment ... 0.0000 μB/atom



(8)
Below is a geometry-optimized Ta2ZnRu structure, with properties calculated at the PBE level.

```
Ta2ZnRu
1.0
5.139 0.029 0.014
4.000 3.226 0.014
1.876 0.668 3.932
Zn Ta Ru
1 2 1
Direct
0.250 0.250 0.250
0.486 0.486 0.514
0.014 0.014 0.986
0.750 0.750 0.750
```

Calculated values
Space-group type ... Immm (71)
VASP energy ... -8.639 eV/atom
Calculated volume ... 16.16 A^3/atom
Total magnetic moment ... 0.0000 μB/atom